# 1
First-principles (PBE-GGA) data for an optimized crystal structure of DyUTl, as listed in the Open Quantum Materials Database.

Results
* calculated volume: 32.774 A^3/atom
* E: -16.21 eV/f.u.
* space-group type: F-43m (216)
* theoretical density: 10.22 g/cm³

abc: 5.181 5.181 5.181
angles: 60.00 60.00 60.00
Atoms (fractional coordinates):
Dy  0.250  0.250  0.250
Tl  0.000  0.000  0.000
U  0.750  0.750  0.750



# 2
First-principles (PBE-GGA) data for an optimized crystal structure of Sc4NiPbC2, as listed in the Open Quantum Materials Database.

Results
* calculated volume: 17.099 A^3/atom
* E: -56.80 eV/f.u.
* space-group type: P-6m2 (187)
* theoretical density: 5.70 g/cm³

abc: 3.380 3.380 13.825
angles: 90.00 90.00 120.00
Atoms (fractional coordinates):
C  0.333  0.667  0.772
C  0.333  0.667  0.228
Ni  0.000  0.000  0.000
Sc  0.000  0.000  0.688
Sc  0.667  0.333  0.136
Sc  0.000  0.000  0.312
Sc  0.667  0.333  0.864
Pb  0.667  0.333  0.500



# 3
First-principles (PBE-GGA) data for an optimized crystal structure of NaTlW2, as listed in the Open Quantum Materials Database.

Results
* calculated volume: 18.183 A^3/atom
* E: -25.45 eV/f.u.
* space-group type: F-43m (216)
* theoretical density: 13.59 g/cm³

abc: 4.685 4.685 4.685
angles: 60.00 60.00 60.00
Atoms (fractional coordinates):
Na  0.250  0.250  0.250
W  0.000  0.000  0.000
W  0.750  0.750  0.750
Tl  0.500  0.500  0.500



# 4
First-principles (PBE-GGA) data for an optimized crystal structure of TbGd2In3Ir2Pd, as listed in the Open Quantum Materials Database.

Results
* calculated volume: 21.897 A^3/atom
* E: -51.77 eV/f.u.
* space-group type: Amm2 (38)
* theoretical density: 11.03 g/cm³

abc: 3.913 7.621 7.621
angles: 119.88 90.00 90.00
Atoms (fractional coordinates):
Ir  0.500  0.666  0.334
Ir  0.500  0.334  0.666
Tb  0.000  0.588  0.588
In  0.500  0.000  0.741
In  0.500  0.259  0.259
In  0.500  0.741  0.000
Gd  0.000  0.412  0.000
Gd  0.000  0.000  0.412
Pd  0.000  0.000  0.000



# 5
First-principles (PBE-GGA) data for an optimized crystal structure of Ba2Au, as listed in the Open Quantum Materials Database.

Results
* calculated volume: 117.602 A^3/atom
* E: -6.56 eV/f.u.
* space-group type: Fd-3m (227)
* theoretical density: 2.22 g/cm³

abc: 9.993 9.993 9.993
angles: 60.00 60.00 60.00
Atoms (fractional coordinates):
Ba  0.375  0.375  0.375
Ba  0.375  0.375  0.875
Ba  0.875  0.375  0.375
Ba  0.375  0.875  0.375
Au  0.250  0.250  0.250
Au  0.500  0.500  0.500



# 6
First-principles (PBE-GGA) data for an optimized crystal structure of GeMo2Pt, as listed in the Open Quantum Materials Database.

Results
* calculated volume: 15.732 A^3/atom
* E: -31.70 eV/f.u.
* space-group type: F-43m (216)
* theoretical density: 12.13 g/cm³

abc: 4.465 4.465 4.465
angles: 60.00 60.00 60.00
Last column: magnetic moment on the atom in μB.
Atoms (fractional coordinates):
Pt  0.250  0.250  0.250  0.29
Ge  0.500  0.500  0.500  0.02
Mo  0.000  0.000  0.000  1.06
Mo  0.750  0.750  0.750  -0.07



# 7
First-principles (PBE-GGA) data for an optimized crystal structure of SmMg8Zn4, as listed in the Open Quantum Materials Database.

Results
* calculated volume: 20.200 A^3/atom
* E: -24.06 eV/f.u.
* space-group type: I4/mmm (139)
* theoretical density: 3.83 g/cm³

abc: 7.424 7.424 7.424
angles: 97.98 97.98 136.24
Atoms (fractional coordinates):
Zn  0.000  0.500  0.000
Zn  0.000  0.000  0.500
Zn  0.500  0.500  0.500
Zn  0.500  0.000  0.000
Mg  0.000  0.347  0.347
Mg  0.653  0.000  0.653
Mg  0.347  0.000  0.347
Mg  0.286  0.500  0.786
Mg  0.500  0.286  0.786
Mg  0.500  0.714  0.214
Mg  0.714  0.500  0.214
Mg  0.000  0.653  0.653
Sm  0.000  0.000  0.000



# 8
First-principles (PBE-GGA) data for an optimized crystal structure of Gd2HoIn3AgPd2, as listed in the Open Quantum Materials Database.

Results
* calculated volume: 22.586 A^3/atom
* E: -41.51 eV/f.u.
* space-group type: Amm2 (38)
* theoretical density: 9.35 g/cm³

abc: 3.813 7.842 7.842
angles: 119.89 90.00 90.00
Atoms (fractional coordinates):
Pd  0.000  0.665  0.334
Pd  0.000  0.334  0.665
In  0.000  0.731  0.731
In  0.000  0.001  0.268
In  0.000  0.268  0.001
Ho  0.500  0.409  0.409
Ag  0.500  0.001  0.001
Gd  0.500  0.000  0.591
Gd  0.500  0.591  0.000



# 9
First-principles (PBE-GGA) data for an optimized crystal structure of Sr3HfZn2, as listed in the Open Quantum Materials Database.

Results
* calculated volume: 30.451 A^3/atom
* E: -17.14 eV/f.u.
* space-group type: P4mm (99)
* theoretical density: 5.20 g/cm³

abc: 3.684 3.684 13.462
angles: 90.00 90.00 90.00
Atoms (fractional coordinates):
Zn  0.500  0.500  0.454
Zn  0.000  0.000  0.016
Sr  0.000  0.000  0.620
Sr  0.500  0.500  0.171
Sr  0.500  0.500  0.872
Hf  0.000  0.000  0.368



# 10
First-principles (PBE-GGA) data for an optimized crystal structure of Y3HoPd4, as listed in the Open Quantum Materials Database.

Results
* calculated volume: 22.250 A^3/atom
* E: -52.05 eV/f.u.
* energy relative to the elements: -0.922 eV/atom
* space-group type: Pm (6)
* theoretical density: 8.00 g/cm³

abc: 5.590 4.568 6.971
angles: 90.00 90.22 90.00
Atoms (fractional coordinates):
Y  0.857  0.500  0.818
Y  0.143  0.000  0.183
Y  0.642  0.500  0.318
Pd  0.651  0.000  0.039
Pd  0.347  0.500  0.954
Pd  0.846  0.000  0.543
Pd  0.155  0.500  0.463
Ho  0.358  0.000  0.682



# 11
First-principles (PBE-GGA) data for an optimized crystal structure of TbTm2Mg3Pd2Pt, as listed in the Open Quantum Materials Database.

Results
* calculated volume: 21.185 A^3/atom
* E: -41.70 eV/f.u.
* space-group type: Amm2 (38)
* theoretical density: 8.51 g/cm³

abc: 4.088 7.337 7.337
angles: 119.97 90.00 90.00
Atoms (fractional coordinates):
Mg  0.500  0.755  0.001
Mg  0.500  0.001  0.755
Mg  0.500  0.245  0.245
Tm  0.000  0.406  0.000
Tm  0.000  0.000  0.406
Tb  0.000  0.591  0.591
Pt  0.000  0.003  0.003
Pd  0.500  0.668  0.330
Pd  0.500  0.330  0.668



# 12
First-principles (PBE-GGA) data for an optimized crystal structure of HoLuH4, as listed in the Open Quantum Materials Database.

Results
* calculated volume: 10.760 A^3/atom
* E: -26.74 eV/f.u.
* space-group type: P4/mmm (123)
* theoretical density: 8.85 g/cm³

abc: 3.576 3.576 5.047
angles: 90.00 90.00 90.00
Atoms (fractional coordinates):
Ho  0.000  0.000  0.000
H  0.500  0.000  0.257
H  0.500  0.000  0.743
H  0.000  0.500  0.743
H  0.000  0.500  0.257
Lu  0.500  0.500  0.500